No. 1
# PuThTeAs PBE relaxed
# Crystal system: trigonal
# Raw formation energy (eV per formula unit): -4.77
# Theoretical density (g cm⁻³): 9.82
data_PuThTeAs
_cell_length_a 4.2880
_cell_length_b 4.2880
_cell_length_c 21.6245
_cell_angle_alpha 90.00
_cell_angle_beta 90.00
_cell_angle_gamma 120.00
_space_group_name_H-M_alt 'R 3 m'
_space_group_IT_number 160
_space_group_name_Hall 'R 3 -2"'
loop_
_atom_site_label
_atom_site_fract_x
_atom_site_fract_y
_atom_site_fract_z
_atom_site_occupancy
Pu1 0.0000 0.0000 0.0000 1
Th1 0.0000 0.0000 0.5188 1
Te1 0.0000 0.0000 0.7570 1
As1 0.0000 0.0000 0.2612 1



No. 2
# YPuTeAs PBE relaxed
# Crystal system: trigonal
# Raw formation energy (eV per formula unit): -5.24
# Theoretical density (g cm⁻³): 8.05
data_YPuTeAs
_cell_length_a 4.2474
_cell_length_b 4.2474
_cell_length_c 21.2184
_cell_angle_alpha 90.00
_cell_angle_beta 90.00
_cell_angle_gamma 120.00
_space_group_name_H-M_alt 'R 3 m'
_space_group_IT_number 160
_space_group_name_Hall 'R 3 -2"'
loop_
_atom_site_label
_atom_site_fract_x
_atom_site_fract_y
_atom_site_fract_z
_atom_site_occupancy
Y1 0.0000 0.0000 0.0000 1
Pu1 0.0000 0.0000 0.4827 1
Te1 0.0000 0.0000 0.2421 1
As1 0.0000 0.0000 0.7401 1



No. 3
# PuThAs PBE relaxed
# Crystal system: tetragonal
# Theoretical density (g cm⁻³): 12.39
# Excess energy over the best structure of this formula in the dataset (meV per atom): 0.0
data_PuThAs
_cell_length_a 3.9344
_cell_length_b 3.9344
_cell_length_c 9.5406
_cell_angle_alpha 90.00
_cell_angle_beta 90.00
_cell_angle_gamma 90.00
_space_group_name_H-M_alt 'I 4 m m'
_space_group_IT_number 107
_space_group_name_Hall 'I 4 -2'
loop_
_atom_site_label
_atom_site_fract_x
_atom_site_fract_y
_atom_site_fract_z
_atom_site_occupancy
Pu1 0.0000 0.0000 0.0000 1
Th1 0.0000 0.0000 0.3000 1
As1 0.0000 0.0000 0.6415 1



| no. | electronic total energy (eV per atom) |
| --- | --- |
| 1 | -8.58 |
| 2 | -8.46 |
| 3 | -9.38 |